Entry from OQMD: a relaxed LiYSbIr crystal (GGA-PBE).

Results
* energy above the most stable polymorph in this dataset: 0.000 eV/atom
* space-group type: F-43m (216)

POSCAR file:
```
LiYSbIr
1.0
6.6555 0.0000 0.0000
0.0000 6.6555 0.0000
0.0000 0.0000 6.6555
Li Y Sb Ir
4 4 4 4
direct
0.0000 0.0000 0.0000
0.0000 0.5000 0.5000
0.5000 0.0000 0.5000
0.5000 0.5000 0.0000
0.2500 0.2500 0.2500
0.2500 0.7500 0.7500
0.7500 0.2500 0.7500
0.7500 0.7500 0.2500
0.2500 0.2500 0.7500
0.2500 0.7500 0.2500
0.7500 0.2500 0.2500
0.7500 0.7500 0.7500
0.0000 0.0000 0.5000
0.0000 0.5000 0.0000
0.5000 0.0000 0.0000
0.5000 0.5000 0.5000
```

=====

Entry from OQMD: a relaxed Cu2Ag crystal (GGA-PBE).

Results
* DFT formation energy: 0.0876 eV per atom
* energy above the most stable polymorph in this dataset: 0.042 eV/atom
* space-group type: C2/m (12)

POSCAR file:
```
Cu2Ag
1.0
8.5862 0.0000 0.0000
0.0000 3.7855 0.0000
-1.8145 0.0000 5.1642
Cu Ag
8 4
direct
0.0061 0.0000 0.2727
0.1589 0.5000 0.5752
0.3411 0.0000 0.4248
0.4939 0.5000 0.7273
0.5061 0.5000 0.2727
0.6589 0.0000 0.5752
0.8411 0.5000 0.4248
0.9939 0.0000 0.7273
0.1683 0.5000 0.0954
0.3317 0.0000 0.9046
0.6683 0.0000 0.0954
0.8317 0.5000 0.9046
```

=====

Entry from OQMD: a relaxed ScCoTc2 crystal (GGA-PBE).

Results
* DFT formation energy: -0.1002 eV per atom
* space-group type: F-43m (216)

POSCAR file:
```
ScCoTc2
1.0
6.1797 0.0000 0.0000
0.0000 6.1797 0.0000
0.0000 0.0000 6.1797
Sc Co Tc
4 4 8
direct
0.0000 0.0000 0.0000
0.0000 0.5000 0.5000
0.5000 0.0000 0.5000
0.5000 0.5000 0.0000
0.2500 0.2500 0.7500
0.2500 0.7500 0.2500
0.7500 0.2500 0.2500
0.7500 0.7500 0.7500
0.0000 0.0000 0.5000
0.0000 0.5000 0.0000
0.2500 0.2500 0.2500
0.2500 0.7500 0.7500
0.5000 0.0000 0.0000
0.5000 0.5000 0.5000
0.7500 0.2500 0.7500
0.7500 0.7500 0.2500
```

=====

Entry from OQMD: a relaxed NaTe2PdAuSe crystal (GGA-PBE).

Results
* space-group type: Cmcm (63)
* DFT total energy: -42.6 eV for the cell shown

POSCAR file:
```
NaTe2PdAuSe
1.0
2.0162 -6.5616 0.0000
2.0162 6.5616 0.0000
0.0000 0.0000 10.9491
Na Te Pd Au Se
2 4 2 2 2
direct
0.2343 0.7657 0.7500
0.7657 0.2343 0.2500
0.1380 0.8620 0.0143
0.1380 0.8620 0.4857
0.8620 0.1380 0.5143
0.8620 0.1380 0.9857
0.5000 0.5000 0.0000
0.5000 0.5000 0.5000
0.0918 0.9082 0.2500
0.9082 0.0918 0.7500
0.4489 0.5511 0.2500
0.5511 0.4489 0.7500
```